Computed, not measured: a relaxed structure of K4BaRu at the GGA-PBE level of DFT.

a b c (Å): 7.4872 7.4872 7.4872
angles (deg): 60.00 60.00 60.00
Element x y z (fractional)
K 0.1224 0.1224 0.1224
K 0.1224 0.1224 0.6328
K 0.1224 0.6328 0.1224
K 0.6328 0.1224 0.1224
Ba 0.5000 0.5000 0.5000
Ru 0.7500 0.7500 0.7500

## Properties
Theoretical density, Mg/m³: 2.21
Energy relative to the elements, kJ/mol of formula units: 534
SG: No. 216
V, A^3/atom: 49.46